Record 1
This record from Alexandria via LeMat-Bulk describes Mn2AsBr after structural relaxation. The functional is PBEsol.

abc: 3.6556 3.6556 6.4455
angles: 90.00 90.00 120.00
Last column: nearest neighbours and their distance in Å.
Space group P-6m2 (No. 187)
Unique sites:
Mn  0.0000  0.0000  0.2097 (multiplicity 2)  3 As 2.51, 1 Mn 2.70
As  0.3333  0.6667  0.0000 (multiplicity 1)  6 Mn 2.51
Br  0.6667  0.3333  0.5000 (multiplicity 1)  6 Mn 2.82

## Properties
Formation energy without anion corrections   0.0453 eV per atom
Distance to the lowest polymorph of the same formula   0.000 eV/atom
D(E_F)   1.94 states/eV/f.u.

=====

Record 2
This record from Alexandria via LeMat-Bulk describes Rb3PdSe after structural relaxation. The functional is PBEsol.

abc: 5.7711 5.7711 5.7711
angles: 90.00 90.00 90.00
Last column: nearest neighbours and their distance in Å.
Space group Pm-3m (No. 221)
Unique sites:
Rb  0.0000  0.0000  0.5000 (multiplicity 3)  2 Pd 2.89
Pd  0.0000  0.0000  0.0000 (multiplicity 1)  6 Rb 2.89
Se  0.5000  0.5000  0.5000 (multiplicity 1)  12 Rb 4.08

## Properties
Formation energy without anion corrections   -0.0664 eV per atom
D(E_F)   2.19 states/eV/f.u.

=====

Record 3
This record from Alexandria via LeMat-Bulk describes ScInAg2 after structural relaxation. The functional is PBEsol.

abc: 4.6818 4.6818 6.7894
angles: 90.00 90.00 90.00
Last column: nearest neighbours and their distance in Å.
Space group I-4m2 (No. 119)
Unique sites:
Sc  0.0000  0.0000  0.0000 (multiplicity 2)  4 In 2.89, 4 Ag 2.89
In  0.0000  0.5000  0.2500 (multiplicity 2)  4 Sc 2.89, 4 Ag 2.89
Ag  0.0000  0.0000  0.5000 (multiplicity 2)  4 In 2.89, 4 Ag 2.89
Ag  0.0000  0.5000  0.7500 (multiplicity 2)  4 Ag 2.89, 4 Sc 2.89

## Properties
Energy relative to the elements   -0.28 eV/atom
D(E_F)   1.79 states/eV/f.u.

=====

Record 4
This record from Alexandria via LeMat-Bulk describes LiTaRu2 after structural relaxation. The functional is PBEsol.

abc: 3.1003 3.1003 5.7396
angles: 90.00 90.00 90.00
Last column: nearest neighbours and their distance in Å.
Space group P4/mmm (No. 123)
Unique sites:
Li  0.0000  0.0000  0.0000 (multiplicity 1)  8 Ru 2.58, 2 Ta 2.87
Ta  0.0000  0.0000  0.5000 (multiplicity 1)  8 Ru 2.66, 2 Li 2.87
Ru  0.5000  0.5000  0.2374 (multiplicity 2)  4 Li 2.58, 4 Ta 2.66, 1 Ru 2.73

## Properties
Distance to the lowest polymorph of the same formula   0.048 eV/atom
Energy relative to the elements   -0.09 eV/atom
D(E_F)   3.75 states/eV/f.u.

=====

Record 5
This record from Alexandria via LeMat-Bulk describes ScCdMo3 after structural relaxation. The functional is PBEsol.

abc: 4.8197 4.8197 4.8197
angles: 90.00 90.00 90.00
Last column: nearest neighbours and their distance in Å.
Space group Pm-3m (No. 221)
Unique sites:
Sc  0.0000  0.0000  0.0000 (multiplicity 1)  12 Mo 3.41
Cd  0.5000  0.5000  0.5000 (multiplicity 1)  6 Mo 2.41
Mo  0.0000  0.5000  0.5000 (multiplicity 3)  2 Cd 2.41

## Properties
Energy relative to the elements   2.26 eV/atom
D(E_F)   8.64 states/eV/f.u.

=====

Record 6
This record from Alexandria via LeMat-Bulk describes NaTi2AsBr after structural relaxation. The functional is PBEsol.

abc: 4.7169 4.7169 7.0602
angles: 90.00 90.00 90.00
Last column: nearest neighbours and their distance in Å.
Space group P4/mmm (No. 123)
Unique sites:
Na  0.0000  0.0000  0.0000 (multiplicity 1)  4 Br 3.34
Ti  0.0000  0.5000  0.5000 (multiplicity 2)  2 As 2.36
As  0.5000  0.5000  0.5000 (multiplicity 1)  4 Ti 2.36
Br  0.5000  0.5000  0.0000 (multiplicity 1)  4 Na 3.34, 2 As 3.53

## Properties
Formation energy without anion corrections   0.2523 eV per atom
D(E_F)   5.31 states/eV/f.u.

=====

Record 7
This record from Alexandria via LeMat-Bulk describes RbInSb2Te after structural relaxation. The functional is PBEsol.

abc: 5.6133 5.6133 5.8831
angles: 90.00 90.00 90.00
Last column: nearest neighbours and their distance in Å.
Space group P4/mmm (No. 123)
Unique sites:
Rb  0.0000  0.0000  0.0000 (multiplicity 1)  4 Te 3.97, 8 Sb 4.07
In  0.5000  0.5000  0.5000 (multiplicity 1)  4 Sb 2.81, 2 Te 2.94
Sb  0.0000  0.5000  0.5000 (multiplicity 2)  2 In 2.81
Te  0.5000  0.5000  0.0000 (multiplicity 1)  2 In 2.94

## Properties
Formation energy without anion corrections   0.1847 eV per atom
D(E_F)   6.13 states/eV/f.u.

=====

Record 8
This record from Alexandria via LeMat-Bulk describes TaNiOs2 after structural relaxation. The functional is PBEsol.

abc: 3.8119 3.8119 7.6808
angles: 90.00 90.00 90.00
Last column: nearest neighbours and their distance in Å.
Space group I-4m2 (No. 119)
Unique sites:
Ta  0.0000  0.0000  0.0000 (multiplicity 2)  8 Os 2.70-2.71, 4 Ni 2.71
Ni  0.0000  0.5000  0.2500 (multiplicity 2)  8 Os 2.70-2.71, 4 Ta 2.71
Os  0.0000  0.0000  0.5000 (multiplicity 2)  4 Ta 2.70, 4 Os 2.71, 4 Ni 2.71
Os  0.0000  0.5000  0.7500 (multiplicity 2)  4 Ni 2.70, 4 Ta 2.71, 4 Os 2.71

## Properties
Energy relative to the elements   -0.13 eV/atom
D(E_F)   2.28 states/eV/f.u.

=====

Record 9
This record from Alexandria via LeMat-Bulk describes AsIr2Se after structural relaxation. The functional is PBEsol.

abc: 5.4458 5.4458 11.0722
angles: 90.00 90.00 90.00
Last column: nearest neighbours and their distance in Å.
Space group I-42d (No. 122)
Unique sites:
As  0.0000  0.0000  0.0000 (multiplicity 4)  4 Ir 2.37
Ir  0.2490  0.2500  0.1250 (multiplicity 8)  2 As 2.37, 2 Se 2.37
Se  0.0000  0.0000  0.5000 (multiplicity 4)  4 Ir 2.37

## Properties
Formation energy without anion corrections   0.2178 eV per atom
Distance to the lowest polymorph of the same formula   0.177 eV/atom
D(E_F)   2.23 states/eV/f.u.

=====

Record 10
This record from Alexandria via LeMat-Bulk describes IrOsRu2 after structural relaxation. The functional is PBEsol.

abc: 3.7945 3.7945 7.5890
angles: 90.00 90.00 90.00
Last column: nearest neighbours and their distance in Å.
Space group I-4m2 (No. 119)
Unique sites:
Ir  0.0000  0.0000  0.0000 (multiplicity 2)  8 Ru 2.68, 4 Os 2.68
Os  0.0000  0.5000  0.2500 (multiplicity 2)  8 Ru 2.68, 4 Ir 2.68
Ru  0.0000  0.0000  0.5000 (multiplicity 2)  4 Ir 2.68, 4 Ru 2.68, 4 Os 2.68
Ru  0.0000  0.5000  0.7500 (multiplicity 2)  4 Os 2.68, 4 Ir 2.68, 4 Ru 2.68

## Properties
Distance to the lowest polymorph of the same formula   0.005 eV/atom
Energy relative to the elements   0.04 eV/atom
D(E_F)   3.97 states/eV/f.u.

=====

Record 11
This record from Alexandria via LeMat-Bulk describes OsSeN3 after structural relaxation. The functional is PBEsol.

abc: 3.8768 3.8768 3.8768
angles: 90.00 90.00 90.00
Last column: nearest neighbours and their distance in Å.
Space group Pm-3m (No. 221)
Unique sites:
Os  0.0000  0.0000  0.0000 (multiplicity 1)  6 N 1.94
Se  0.5000  0.5000  0.5000 (multiplicity 1)  12 N 2.74
N  0.0000  0.0000  0.5000 (multiplicity 3)  2 Os 1.94

## Properties
Formation energy without anion corrections   1.2528 eV per atom
D(E_F)   4.98 states/eV/f.u.

=====

Record 12
This record from Alexandria via LeMat-Bulk describes TaHg2Pb after structural relaxation. The functional is PBEsol.

abc: 3.0003 3.0003 10.0838
angles: 90.00 90.00 90.00
Last column: nearest neighbours and their distance in Å.
Space group P4mm (No. 99)
Unique sites:
Ta  0.0000  0.0000  0.0000 (multiplicity 1)  4 Hg 2.94, 4 Ta 3.00, 4 Pb 3.20
Hg  0.0000  0.0000  0.4625 (multiplicity 1)  4 Hg 3.00
Hg  0.5000  0.5000  0.2012 (multiplicity 1)  4 Ta 2.94, 4 Hg 3.00
Pb  0.5000  0.5000  0.7625 (multiplicity 1)  4 Pb 3.00, 4 Ta 3.20

## Properties
Energy relative to the elements   0.32 eV/atom
D(E_F)   2.06 states/eV/f.u.

=====

Record 13
This record from Alexandria via LeMat-Bulk describes La5Hg after structural relaxation. The functional is PBEsol.

abc: 3.7121 3.7121 13.9269
angles: 90.00 90.00 90.00
Last column: nearest neighbours and their distance in Å.
Space group P4/mmm (No. 123)
Unique sites:
La  0.0000  0.0000  0.0000 (multiplicity 1)  12 La 3.62-3.71
La  0.0000  0.0000  0.3567 (multiplicity 2)  4 Hg 3.30, 4 La 3.60
La  0.5000  0.5000  0.1795 (multiplicity 2)  12 La 3.60-3.71
Hg  0.5000  0.5000  0.5000 (multiplicity 1)  8 La 3.30

## Properties
Distance to the lowest polymorph of the same formula   0.000 eV/atom
Energy relative to the elements   -0.18 eV/atom
D(E_F)   8.28 states/eV/f.u.

=====

Record 14
This record from Alexandria via LeMat-Bulk describes La2MgRu after structural relaxation. The functional is PBEsol.

abc: 3.3868 4.9580 12.3520
angles: 90.00 90.00 90.00
Last column: nearest neighbours and their distance in Å.
Space group Imm2 (No. 44)
Unique sites:
La  0.0000  0.0000  0.0000 (multiplicity 2)  4 Ru 3.00, 2 Mg 3.30
La  0.0000  0.5000  0.1912 (multiplicity 2)  2 Ru 2.89
Mg  0.0000  0.5000  0.8241 (multiplicity 2)  2 Ru 2.77
Ru  0.0000  0.0000  0.5017 (multiplicity 2)  2 Mg 2.77, 6 La 2.89-3.00

## Properties
Energy relative to the elements   -0.04 eV/atom
D(E_F)   2.63 states/eV/f.u.

=====

Record 15
This record from Alexandria via LeMat-Bulk describes Lu2CuGe4O12 after structural relaxation. The functional is PBEsol.

abc: 4.9183 7.0181 7.7057
angles: 67.16 87.93 78.06
Last column: nearest neighbours and their distance in Å.
Space group P-1 (No. 2)
Unique sites:
Lu  0.0487  0.2677  0.4540 (multiplicity 2)  7 O 2.17-2.42
Cu  0.0000  0.5000  0.0000 (multiplicity 1)  4 O 1.95
Ge  0.4177  0.8778  0.7904 (multiplicity 2)  4 O 1.73-1.82
Ge  0.4639  0.6596  0.2285 (multiplicity 2)  4 O 1.75-1.78
O  0.2195  0.9245  0.5909 (multiplicity 2)  1 Ge 1.73
O  0.2231  0.5638  0.3949 (multiplicity 2)  1 Ge 1.75
O  0.2481  0.2717  0.1969 (multiplicity 2)  1 Ge 1.74, 1 Cu 1.95
O  0.2504  0.5221  0.7948 (multiplicity 2)  1 Ge 1.75, 1 Cu 1.95
O  0.2657  0.8021  0.0113 (multiplicity 2)  2 Ge 1.76-1.78
O  0.3929  0.1613  0.7089 (multiplicity 2)  2 Ge 1.78-1.82

## Properties
Formation energy without anion corrections   -2.1285 eV per atom

=====

Record 16
This record from Alexandria via LeMat-Bulk describes K3TcF after structural relaxation. The functional is PBEsol.

abc: 5.2863 5.2863 5.2863
angles: 90.00 90.00 90.00
Last column: nearest neighbours and their distance in Å.
Space group Pm-3m (No. 221)
Unique sites:
K  0.0000  0.0000  0.5000 (multiplicity 3)  2 F 2.64
Tc  0.5000  0.5000  0.5000 (multiplicity 1)  12 K 3.74
F  0.0000  0.0000  0.0000 (multiplicity 1)  6 K 2.64

## Properties
Formation energy without anion corrections   -0.0041 eV per atom
D(E_F)   3.75 states/eV/f.u.

=====

Record 17
This record from Alexandria via LeMat-Bulk describes La2OsBr after structural relaxation. The functional is PBEsol.

abc: 4.1417 4.1417 22.9129
angles: 90.00 90.00 120.00
Last column: nearest neighbours and their distance in Å.
Space group R-3m (No. 166, hexagonal axes)
Unique sites:
La  0.0000  0.0000  0.2325 (multiplicity 6)  3 Os 2.83
Os  0.0000  0.0000  0.5000 (multiplicity 3)  6 La 2.83
Br  0.0000  0.0000  0.0000 (multiplicity 3)  6 La 3.32

## Properties
Formation energy without anion corrections   -0.7523 eV per atom
Distance to the lowest polymorph of the same formula   0.000 eV/atom
D(E_F)   2.08 states/eV/f.u.

=====

Record 18
This record from Alexandria via LeMat-Bulk describes Ba2BePtAu after structural relaxation. The functional is PBEsol.

abc: 5.9843 5.9843 4.3157
angles: 90.00 90.00 90.00
Last column: nearest neighbours and their distance in Å.
Space group P4/mmm (No. 123)
Unique sites:
Ba  0.0000  0.5000  0.0000 (multiplicity 2)  2 Pt 2.99
Be  0.0000  0.0000  0.5000 (multiplicity 1)  2 Pt 2.16
Pt  0.0000  0.0000  0.0000 (multiplicity 1)  2 Be 2.16
Au  0.5000  0.5000  0.5000 (multiplicity 1)  8 Ba 3.69

## Properties
Energy relative to the elements   -0.30 eV/atom
D(E_F)   2.26 states/eV/f.u.

=====

Record 19
This record from Alexandria via LeMat-Bulk describes CaMg2Tc after structural relaxation. The functional is PBEsol.

abc: 4.4619 4.4619 4.0406
angles: 90.00 90.00 90.00
Last column: nearest neighbours and their distance in Å.
Space group P4/mmm (No. 123)
Unique sites:
Ca  0.0000  0.0000  0.0000 (multiplicity 1)  8 Mg 3.01, 4 Tc 3.16
Mg  0.0000  0.5000  0.5000 (multiplicity 2)  4 Tc 3.01, 4 Ca 3.01, 4 Mg 3.16
Tc  0.5000  0.5000  0.0000 (multiplicity 1)  8 Mg 3.01, 4 Ca 3.16

## Properties
Distance to the lowest polymorph of the same formula   0.131 eV/atom
Energy relative to the elements   0.48 eV/atom
D(E_F)   2.86 states/eV/f.u.

=====

Record 20
This record from Alexandria via LeMat-Bulk describes Ag2HgP after structural relaxation. The functional is PBEsol.

abc: 3.0407 3.0407 26.0702
angles: 90.00 90.00 120.00
Last column: nearest neighbours and their distance in Å.
Space group R-3m (No. 166, hexagonal axes)
Unique sites:
Ag  0.0000  0.0000  0.2427 (multiplicity 6)  3 P 2.65, 3 Hg 2.94
Hg  0.0000  0.0000  0.0000 (multiplicity 3)  6 Ag 2.94, 6 Hg 3.04
P  0.0000  0.0000  0.5000 (multiplicity 3)  6 Ag 2.65

## Properties
Energy relative to the elements   0.20 eV/atom
D(E_F)   1.39 states/eV/f.u.